Entry from Alexandria via LeMat-Bulk: Pr4RuAuI2 after structural relaxation (PBE).

The total energy comes out at -41.05 eV per cell.

Lattice parameters (Å, degrees): 7.501 4.275 8.546 90.00 106.89 90.00
Space group P2/m (No. 10)
Asymmetric unit:
Pr: 0.217 0.000 0.188 (multiplicity 2)
Pr: 0.244 0.500 0.809 (multiplicity 2)
Ru: 0.000 0.500 0.000 (multiplicity 1)
Au: 0.500 0.000 0.000 (multiplicity 1)
I: 0.000 0.000 0.500 (multiplicity 1)
I: 0.500 0.500 0.500 (multiplicity 1)

***

Entry from Alexandria via LeMat-Bulk: Pr8AuS3I4 after structural relaxation (PBE).

The total energy comes out at -243.41 eV per cell.

Lattice parameters (Å, degrees): 8.4549 8.4549 23.5247 90.00 90.00 120.00
Space group R-3m (No. 166, hexagonal axes)
Asymmetric unit:
Pr: 0.0000 0.0000 0.2284 (multiplicity 6)
Pr: 0.0150 0.5075 0.7684 (multiplicity 18)
Au: 0.0000 0.0000 0.5000 (multiplicity 3)
S: 0.0000 0.5000 0.5000 (multiplicity 9)
I: 0.0000 0.0000 0.0000 (multiplicity 3)
I: 0.0000 0.5000 0.0000 (multiplicity 9)

***

Entry from Alexandria via LeMat-Bulk: Pr4AuSI2 after structural relaxation (PBE).

The total energy comes out at -38.91 eV per cell.

Lattice parameters (Å, degrees): 7.423 4.205 8.358 90.00 107.40 90.00
Space group P2/m (No. 10)
Asymmetric unit:
Pr: 0.214 0.000 0.198 (multiplicity 2)
Pr: 0.257 0.500 0.800 (multiplicity 2)
Au: 0.500 0.000 0.000 (multiplicity 1)
S: 0.000 0.500 0.000 (multiplicity 1)
I: 0.000 0.000 0.500 (multiplicity 1)
I: 0.500 0.500 0.500 (multiplicity 1)

***

Entry from Alexandria via LeMat-Bulk: Pr6AuSe2I3 after structural relaxation (PBE).

The total energy comes out at -115.96 eV per cell.

Lattice parameters (Å, degrees): 7.468 12.886 8.263 90.00 107.35 90.00
Space group C2/m (No. 12)
Asymmetric unit:
Pr: 0.231 0.000 0.203 (multiplicity 4)
Pr: 0.237 0.331 0.204 (multiplicity 8)
Au: 0.000 0.500 0.000 (multiplicity 2)
Se: 0.000 0.167 0.000 (multiplicity 4)
I: 0.000 0.000 0.500 (multiplicity 2)
I: 0.000 0.334 0.500 (multiplicity 4)

***

| no. | magnetic moment (μB/atom) |
| --- | --- |
| 1 | 0.000 |
| 2 | 0.000 |
| 3 | 0.000 |
| 4 | 0.000 |